# TbNdNi2As2

TbNdNi2As2 after structural relaxation (PBE, the Alexandria database).

Unit cell a=4.090 b=4.090 c=7.953 alpha=90.00 beta=90.00 gamma=120.00
Sites, in units of the cell vectors:
Tb 0.000 0.000 0.000
Nd 0.000 0.000 0.500
Ni 0.333 0.667 0.243
Ni 0.667 0.333 0.757
As 0.333 0.667 0.758
As 0.667 0.333 0.242



# NdTmNi2As2

NdTmNi2As2 after structural relaxation (PBE, the Alexandria database).

Unit cell a=4.079 b=4.079 c=7.826 alpha=90.00 beta=90.00 gamma=120.00
Sites, in units of the cell vectors:
Nd 0.000 0.000 0.000
Tm 0.000 0.000 0.500
Ni 0.333 0.667 0.736
Ni 0.667 0.333 0.264
As 0.333 0.667 0.261
As 0.667 0.333 0.739



# Nd2ZnNi4As3

Nd2ZnNi4As3 after structural relaxation (PBE, the Alexandria database).

Unit cell a=4.133 b=4.133 c=9.737 alpha=90.00 beta=90.00 gamma=90.00
Sites, in units of the cell vectors:
Nd 0.000 0.500 0.244
Nd 0.500 0.000 0.756
Zn 0.000 0.000 0.500
Ni 0.000 0.000 0.000
Ni 0.000 0.500 0.627
Ni 0.500 0.000 0.373
Ni 0.500 0.500 0.000
As 0.000 0.500 0.869
As 0.500 0.000 0.131
As 0.500 0.500 0.500



These records have formation energy values of -607.0, -599.7, -740.7 kJ/mol of formula units, in the order they appear.